# Li3ErAg2 (GGA-PBE, optimized geometry)
# DFT formation energy   -1.0 eV/f.u.
# Magnetization   0.00 μB per formula unit
# Calculated volume   19.129 A^3/atom
# VASP energy   -34.0 eV/cell
data_Li3ErAg2
_cell_length_a 7.535
_cell_length_b 7.535
_cell_length_c 9.226
_cell_angle_alpha 121.98
_cell_angle_beta 121.98
_cell_angle_gamma 31.66
_symmetry_space_group_name_H-M 'P 1'
_symmetry_Int_Tables_number 1
loop_
_symmetry_equiv_pos_as_xyz
'x,y,z'
loop_
_atom_site_label
_atom_site_type_symbol
_atom_site_fract_x
_atom_site_fract_y
_atom_site_fract_z
Li1 Li 0.068 0.068 0.414
Li2 Li 0.265 0.265 0.417
Li3 Li 0.426 0.426 0.314
Li4 Li 0.574 0.574 0.686
Li5 Li 0.735 0.735 0.583
Li6 Li 0.932 0.932 0.586
Er1 Er 0.124 0.124 0.999
Er2 Er 0.876 0.876 0.001
Ag1 Ag 0.207 0.207 0.759
Ag2 Ag 0.424 0.424 0.796
Ag3 Ag 0.576 0.576 0.204
Ag4 Ag 0.793 0.793 0.241

=====

# NaBrF3 (GGA-PBE, optimized geometry)
# Magnetization   3.00 μB per formula unit
# Calculated volume   15.919 A^3/atom
# Excess energy over the best structure of this formula in the dataset   62.59 kJ per mole of atoms
# VASP energy   -13.0 eV/cell
# Uncorrected formation energy   -0.888 eV per atom
data_NaBrF3
_cell_length_a 4.302
_cell_length_b 4.302
_cell_length_c 4.302
_cell_angle_alpha 90.00
_cell_angle_beta 90.00
_cell_angle_gamma 90.00
_symmetry_space_group_name_H-M 'P 1'
_symmetry_Int_Tables_number 1
loop_
_symmetry_equiv_pos_as_xyz
'x,y,z'
loop_
_atom_site_label
_atom_site_type_symbol
_atom_site_fract_x
_atom_site_fract_y
_atom_site_fract_z
Na1 Na 0.000 0.000 0.000
Br1 Br 0.500 0.500 0.500
F1 F 0.000 0.000 0.500
F2 F 0.000 0.500 0.000
F3 F 0.500 0.000 0.000